1.
DFT (GGA-PBE) results for a relaxed ReNiW crystal.

Properties
DFT total energy (eV/atom): -10.311
ΔE to the lowest computed polymorph (meV/atom): 0
Calculated formation energy (eV/atom): 0.08
Total moment (μB per cell): 0.00

abc: 4.3512 4.3512 2.6162
angles: 90.00 90.00 120.00
With the nearest neighbours (Å) after each atom.
Atoms (fractional coordinates):
Re  0.6667  0.3333  0.3652  2 Re 2.62, 3 W 2.67, 6 Ni 2.77-2.90
Ni  0.0000  0.0000  0.9223  3 W 2.57, 2 Ni 2.62, 3 Re 2.77
W  0.3333  0.6667  0.7126  3 Ni 2.57, 2 W 2.62, 3 Re 2.67



2.
DFT (GGA-PBE) results for a relaxed ReNiW crystal.

Properties
DFT total energy (eV/atom): -10.246
ΔE to the lowest computed polymorph (meV/atom): 65
Calculated formation energy (eV/atom): 0.15
Total moment (μB per cell): 0.00

abc: 6.2487 6.2487 6.2487
angles: 155.40 155.40 35.07
With the nearest neighbours (Å) after each atom.
Atoms (fractional coordinates):
Ni  0.9976  0.9976  0.0000  4 Re 2.62, 4 Ni 2.66, 4 W 2.68
Re  0.3442  0.3442  0.0000  4 Ni 2.62, 4 Re 2.66, 4 W 2.91
W  0.6582  0.6582  0.0000  4 W 2.66, 4 Ni 2.68, 4 Re 2.91



3.
DFT (GGA-PBE) results for a relaxed ReNiW crystal.

Properties
DFT total energy (eV/atom): -10.297
ΔE to the lowest computed polymorph (meV/atom): 14
Calculated formation energy (eV/atom): 0.10
Total moment (μB per cell): 0.00

abc: 4.7295 4.7295 4.7295
angles: 148.11 129.47 61.00
With the nearest neighbours (Å) after each atom.
Atoms (fractional coordinates):
W  0.3357  0.3357  0.0000  2 W 2.60, 5 Re 2.66-2.79, 5 Ni 2.72-2.76
Re  0.6620  0.6620  0.0000  2 Re 2.60, 5 W 2.66-2.79, 5 Ni 2.73-2.77
Ni  0.0022  0.0022  0.0000  2 Ni 2.60, 5 W 2.72-2.76, 5 Re 2.73-2.77



4.
DFT (GGA-PBE) results for a relaxed ReNiW4 crystal.

Properties
DFT total energy (eV/atom): -11.115
Calculated formation energy (eV/atom): 0.56
Total moment (μB per cell): 0.00

abc: 5.1732 5.1732 5.1732
angles: 60.00 60.00 60.00
With the nearest neighbours (Å) after each atom.
Atoms (fractional coordinates):
Re  0.0000  0.0000  0.0000  12 W 3.03, 4 Ni 3.17
W  0.8735  0.3755  0.3755  6 W 2.58-2.60
W  0.3755  0.3755  0.8735  6 W 2.58-2.60
W  0.3755  0.3755  0.3755  6 W 2.58-2.60
W  0.3755  0.8735  0.3755  6 W 2.58-2.60
Ni  0.7500  0.7500  0.7500  12 W 3.03, 4 Re 3.17



5.
DFT (GGA-PBE) results for a relaxed ReNiW crystal.

Properties
DFT total energy (eV/atom): -10.247
ΔE to the lowest computed polymorph (meV/atom): 64
Calculated formation energy (eV/atom): 0.15
Total moment (μB per cell): 0.00

abc: 6.3654 6.2602 2.6745
angles: 79.98 75.58 24.44
With the nearest neighbours (Å) after each atom.
Atoms (fractional coordinates):
Re  0.3416  0.3416  0.6584  4 Ni 2.55-2.80, 4 Re 2.67, 2 W 2.78
W  0.6593  0.6593  0.3407  4 Ni 2.58-2.82, 4 W 2.67, 2 Re 2.78
Ni  0.9991  0.9991  0.0009  4 Re 2.55-2.80, 4 W 2.58-2.82, 4 Ni 2.67



6.
DFT (GGA-PBE) results for a relaxed Re4NiW crystal.

Properties
DFT total energy (eV/atom): -11.014
Calculated formation energy (eV/atom): 0.41
Total moment (μB per cell): 0.00

abc: 5.1145 5.1145 5.1145
angles: 60.00 60.00 60.00
With the nearest neighbours (Å) after each atom.
Atoms (fractional coordinates):
W  0.7500  0.7500  0.7500  12 Re 3.00, 4 Ni 3.13
Re  0.8784  0.3739  0.3739  6 Re 2.53-2.58
Re  0.3739  0.3739  0.8784  6 Re 2.53-2.58
Re  0.3739  0.3739  0.3739  6 Re 2.53-2.58
Re  0.3739  0.8784  0.3739  6 Re 2.53-2.58
Ni  0.0000  0.0000  0.0000  12 Re 3.00, 4 W 3.13



7.
DFT (GGA-PBE) results for a relaxed ReNiW crystal.

Properties
DFT total energy (eV/atom): -9.647
ΔE to the lowest computed polymorph (meV/atom): 664
Calculated formation energy (eV/atom): 0.75
Total moment (μB per cell): 0.00

abc: 4.0514 4.0514 4.0514
angles: 60.00 60.00 60.00
With the nearest neighbours (Å) after each atom.
Atoms (fractional coordinates):
Ni  0.7500  0.7500  0.7500  4 W 2.48, 4 Re 2.48
Re  0.0000  0.0000  0.0000  4 Ni 2.48
W  0.5000  0.5000  0.5000  4 Ni 2.48



8.
DFT (GGA-PBE) results for a relaxed Y3ReNi crystal.

Properties
DFT total energy (eV/atom): -6.924
ΔE to the lowest computed polymorph (meV/atom): 0
Calculated formation energy (eV/atom): 0.60
Total moment (μB per cell): 1.07

abc: 5.0548 5.0548 5.0548
angles: 90.00 90.00 90.00
With the nearest neighbours (Å) after each atom.
Atoms (fractional coordinates):
Re  0.5000  0.5000  0.5000  12 Y 3.57
Y  0.0000  0.5000  0.0000  2 Ni 2.53
Y  0.5000  0.0000  0.0000  2 Ni 2.53
Y  0.0000  0.0000  0.5000  2 Ni 2.53
Ni  0.0000  0.0000  0.0000  6 Y 2.53



9.
DFT (GGA-PBE) results for a relaxed YReNi crystal.

Properties
DFT total energy (eV/atom): -7.676
ΔE to the lowest computed polymorph (meV/atom): 399
Calculated formation energy (eV/atom): 0.55
Total moment (μB per cell): 0.00

abc: 2.9258 2.9258 6.9700
angles: 90.00 90.00 120.00
With the nearest neighbours (Å) after each atom.
Atoms (fractional coordinates):
Y  0.3333  0.6667  0.6761  6 Y 2.93, 3 Ni 2.96, 3 Re 3.13
Re  0.6667  0.3333  0.2984  3 Ni 2.54
Ni  0.0000  0.0000  0.0255  3 Re 2.54



10.
DFT (GGA-PBE) results for a relaxed YRe2Ni crystal.

Properties
DFT total energy (eV/atom): -8.921
ΔE to the lowest computed polymorph (meV/atom): 280
Calculated formation energy (eV/atom): 0.36
Total moment (μB per cell): 0.00

abc: 2.7595 2.7595 8.4925
angles: 90.00 90.00 90.00
With the nearest neighbours (Å) after each atom.
Atoms (fractional coordinates):
Y  0.5000  0.5000  0.2500  4 Y 2.76
Re  0.0000  0.0000  0.5432  4 Ni 2.63, 4 Re 2.76
Re  0.0000  0.0000  0.9568  4 Ni 2.63, 4 Re 2.76
Ni  0.5000  0.5000  0.7500  8 Re 2.63, 4 Ni 2.76



11.
DFT (GGA-PBE) results for a relaxed YRe2Ni crystal.

Properties
DFT total energy (eV/atom): -8.743
ΔE to the lowest computed polymorph (meV/atom): 458
Calculated formation energy (eV/atom): 0.54
Total moment (μB per cell): 0.00

abc: 3.7284 3.7284 10.6252
angles: 79.90 79.90 90.00
With the nearest neighbours (Å) after each atom.
Atoms (fractional coordinates):
Re  0.3750  0.4034  0.7500  2 Re 2.49
Re  0.5966  0.1250  0.2500  2 Re 2.49
Re  0.1534  0.6250  0.2500  2 Re 2.49
Re  0.8750  0.8466  0.7500  2 Re 2.49
Ni  0.5000  0.5000  0.0000  4 Y 2.64, 4 Re 2.86
Ni  0.2500  0.7500  0.5000  4 Y 2.64, 4 Re 2.86
Y  0.0000  0.0000  0.0000  4 Ni 2.64, 4 Re 2.93
Y  0.7500  0.2500  0.5000  4 Ni 2.64, 4 Re 2.93



12.
DFT (GGA-PBE) results for a relaxed YRe2Ni crystal.

Properties
DFT total energy (eV/atom): -8.969
ΔE to the lowest computed polymorph (meV/atom): 232
Calculated formation energy (eV/atom): 0.32
Total moment (μB per cell): 0.00

abc: 3.2081 3.2083 6.7192
angles: 90.00 90.00 90.00
With the nearest neighbours (Å) after each atom.
Atoms (fractional coordinates):
Y  0.5000  0.5000  0.2500  8 Re 3.13, 4 Y 3.21, 2 Ni 3.36
Re  0.0000  0.0000  0.5714  1 Re 2.40, 4 Ni 2.57
Re  0.0000  0.0000  0.9286  1 Re 2.40, 4 Ni 2.57
Ni  0.5000  0.5000  0.7500  8 Re 2.57